1.
SbSe2F: optimized geometry, GGA-PBE.

DOS at the Fermi energy, states/eV/f.u.: 4.61
Offset from the most stable computed form, meV per atom: 494.4

CIF file:
```
data_SbSe2F
_chemical_formula_sum 'Sb4 Se8 F4'
_symmetry_space_group_name_H-M 'F m -3 m'
_symmetry_Int_Tables_number 225
_symmetry_space_group_name_Hall '-F 4 2 3'
_cell_length_a 6.750
_cell_length_b 6.750
_cell_length_c 6.750
_cell_angle_alpha 90.00
_cell_angle_beta 90.00
_cell_angle_gamma 90.00
loop_
_atom_site_label
_atom_site_type_symbol
_atom_site_fract_x
_atom_site_fract_y
_atom_site_fract_z
_atom_site_occupancy
Sb1 Sb 0.000 0.000 0.000 1
Se1 Se 0.250 0.250 0.250 1
F1 F 0.000 0.000 0.500 1
```

---

2.
SbSeF3: optimized geometry, GGA-PBE.

Offset from the most stable computed form, meV per atom: 0.0

CIF file:
```
data_SbSeF3
_chemical_formula_sum 'Sb2 Se2 F6'
_symmetry_space_group_name_H-M 'P 1'
_symmetry_Int_Tables_number 1
_cell_length_a 4.210
_cell_length_b 7.712
_cell_length_c 7.727
_cell_angle_alpha 72.37
_cell_angle_beta 89.98
_cell_angle_gamma 89.91
loop_
_symmetry_equiv_pos_as_xyz
'x,y,z'
loop_
_atom_site_label
_atom_site_type_symbol
_atom_site_fract_x
_atom_site_fract_y
_atom_site_fract_z
_atom_site_occupancy
Sb1 Sb 0.000 0.000 0.000 1
Sb2 Sb 0.500 0.040 0.473 1
Se1 Se 0.257 0.491 0.817 1
Se2 Se 0.756 0.549 0.656 1
F1 F 0.316 0.935 0.839 1
F2 F 0.386 0.999 0.151 1
F3 F 0.424 0.293 0.353 1
F4 F 0.815 0.107 0.633 1
F5 F 0.886 0.039 0.322 1
F6 F 0.924 0.746 0.117 1
```

---

3.
Sb2SeF2: optimized geometry, GGA-PBE.

DFT total energy, eV per atom: -3.998
DOS at the Fermi energy, states/eV/f.u.: 1.95

CIF file:
```
data_Sb2SeF2
_chemical_formula_sum 'Sb4 Se2 F4'
_symmetry_space_group_name_H-M 'C 1 2/m 1'
_symmetry_Int_Tables_number 12
_cell_length_a 4.848
_cell_length_b 7.528
_cell_length_c 6.396
_cell_angle_alpha 90.00
_cell_angle_beta 110.90
_cell_angle_gamma 90.00
loop_
_symmetry_equiv_pos_as_xyz
'x,y,z'
'-x,-y,-z'
'-x,y,-z'
'x,-y,z'
'x+1/2,y+1/2,z'
'-x+1/2,-y+1/2,-z'
'-x+1/2,y+1/2,-z'
'x+1/2,-y+1/2,z'
loop_
_atom_site_label
_atom_site_type_symbol
_atom_site_fract_x
_atom_site_fract_y
_atom_site_fract_z
_atom_site_occupancy
Sb1 Sb 0.215 0.000 0.306 1
Se1 Se 0.000 0.500 0.000 1
F1 F 0.000 0.177 0.500 1
```